Entry 1:
The following is a DFT calculation (meta-GGA SCAN) of a crystal of KAg2Sb2 relaxed with PBEsol.

The structure in POSCAR format:
```
KAg2Sb2
1.0
-2.5489 -3.3778 -2.1096
3.9768 -2.2924 -1.1344
-0.9747 -0.0936 6.6263
Ag Sb K
2 2 1
Direct
0.7500 0.2500 0.5000
0.2500 0.7500 0.5000
0.3774 0.3774 0.7549
0.6226 0.6226 0.2451
0.0000 0.0000 0.0000
```

Results
As for the density of states at the Fermi level: 1.3 states/eV per cell. Its symmetry is I4/mmm (139). The crystal system is tetragonal. For the uncorrected formation energy, the calculation gives -0.2496 eV/atom. For the raw total energy, the calculation gives -29.37 eV per atom.

***

Entry 2:
The following is a DFT calculation (meta-GGA SCAN) of a crystal of LiHg2Os relaxed with PBEsol.

The structure in POSCAR format:
```
LiHg2Os
1.0
-0.9191 -0.6126 2.6614
1.3079 -4.5935 -0.6056
4.4174 3.0311 0.6633
Li Hg Os
1 2 1
Direct
0.5109 0.4378 0.0218
0.9910 0.9042 0.9820
0.7513 0.3286 0.5026
0.2468 0.8295 0.4936
```

Results
As for the density of states at the Fermi level: 1.1 states/eV per cell. Its symmetry is Cm (8). The crystal system is monoclinic. For the raw total energy, the calculation gives -52.31 eV per atom. The formation energy is 0.34 eV per atom.

***

Entry 3:
The following is a DFT calculation (meta-GGA SCAN) of a crystal of Y5Au relaxed with PBEsol.

The structure in POSCAR format:
```
Y5Au
1.0
3.6491 0.0000 0.0000
-1.8246 5.9795 -0.0046
0.0000 -3.0656 7.6760
Y Au
5 1
Direct
0.6404 0.2807 0.2448
0.6121 0.2242 0.8071
0.9720 0.9440 0.4445
0.3041 0.6081 0.6441
0.3325 0.6649 0.0818
0.9723 0.9447 0.9444
```

Results
As for the density of states at the Fermi level: 5.8 states/eV per cell. Its symmetry is C2/m (12). The crystal system is monoclinic. For the raw total energy, the calculation gives -35.08 eV per atom. The formation energy is -0.35 eV per atom.

***

Entry 4:
The following is a DFT calculation (meta-GGA SCAN) of a crystal of CuRuPt2 relaxed with PBEsol.

The structure in POSCAR format:
```
CuRuPt2
1.0
2.6730 0.0000 0.0000
0.0000 4.3925 0.0000
0.0000 0.0000 4.6952
Pt Ru Cu
2 1 1
Direct
0.0000 0.5000 0.7006
0.0000 0.0000 0.0504
0.5000 0.0000 0.5421
0.5000 0.5000 0.2070
```

Results
As for the density of states at the Fermi level: 3.5 states/eV per cell. Its symmetry is Pmm2 (25). The crystal system is orthorhombic. For the raw total energy, the calculation gives -47.61 eV per atom. The formation energy is -0.01 eV per atom.

***

Entry 5:
The following is a DFT calculation (meta-GGA SCAN) of a crystal of NiRh2 relaxed with PBEsol.

The structure in POSCAR format:
```
NiRh2
1.0
2.6481 0.0000 0.0000
0.0000 2.6481 0.0000
-1.3241 -1.3241 5.3594
Rh Ni
2 1
Direct
0.6625 0.6625 0.3251
0.3375 0.3375 0.6749
0.0000 0.0000 0.0000
```

Results
As for the density of states at the Fermi level: 4.2 states/eV per cell. Its symmetry is I4/mmm (139). The crystal system is tetragonal. For the raw total energy, the calculation gives -27.84 eV per atom. The formation energy is 0.06 eV per atom.

***

Entry 6:
The following is a DFT calculation (meta-GGA SCAN) of a crystal of HgIr2Os relaxed with PBEsol.

The structure in POSCAR format:
```
HgIr2Os
1.0
3.9285 0.0000 0.0000
0.0000 3.9285 0.0000
-1.9643 -1.9643 3.9393
Hg Ir Os
1 2 1
Direct
0.2500 0.7500 0.5000
0.0000 0.0000 0.0000
0.7500 0.2500 0.5000
0.5000 0.5000 0.0000
```

Results
As for the density of states at the Fermi level: 3.7 states/eV per cell. Its symmetry is I-4m2 (119). The crystal system is tetragonal. For the raw total energy, the calculation gives -69.88 eV per atom. The formation energy is 0.68 eV per atom.

***

Entry 7:
The following is a DFT calculation (meta-GGA SCAN) of a crystal of Ba4Au3 relaxed with PBEsol.

The structure in POSCAR format:
```
Ba4Au3
1.0
-3.5697 -2.0227 -1.7247
-1.4842 -0.8789 4.1028
-4.1912 13.2279 -1.0964
Au Ba
3 4
Direct
0.0000 0.0000 0.0000
0.6845 0.6845 0.3690
0.3155 0.3155 0.6310
0.1931 0.1931 0.3861
0.8069 0.8069 0.6139
0.5649 0.5649 0.1299
0.4351 0.4351 0.8701
```

Results
As for the density of states at the Fermi level: 5.1 states/eV per cell. Its symmetry is I4/mmm (139). The crystal system is tetragonal. For the raw total energy, the calculation gives -52.94 eV per atom. The formation energy is -0.70 eV per atom.

***

Entry 8:
The following is a DFT calculation (meta-GGA SCAN) of a crystal of Rb2FeI relaxed with PBEsol.

The structure in POSCAR format:
```
Rb2FeI
1.0
6.0836 0.0000 0.0000
3.0418 5.2685 0.0000
3.0418 1.7562 4.9672
Rb I Fe
2 1 1
Direct
0.7500 0.7500 0.7500
0.2500 0.2500 0.2500
0.5000 0.5000 0.5000
0.0000 0.0000 0.0000
```

Results
As for the density of states at the Fermi level: 10.6 states/eV per cell. Its symmetry is Fm-3m (225). The crystal system is cubic. For the uncorrected formation energy, the calculation gives 0.0574 eV/atom. For the raw total energy, the calculation gives -24.03 eV per atom.

***

Entry 9:
The following is a DFT calculation (meta-GGA SCAN) of a crystal of Ta2InW relaxed with PBEsol.

The structure in POSCAR format:
```
Ta2InW
1.0
3.3936 0.0000 0.0000
0.0000 4.5687 0.0000
-1.6968 -2.2844 4.5681
Ta W In
2 1 1
Direct
0.7584 0.2584 0.5168
0.0103 0.0103 0.0206
0.4866 0.4866 0.9731
0.2448 0.7448 0.4895
```

Results
As for the density of states at the Fermi level: 2.2 states/eV per cell. Its symmetry is Imm2 (44). The crystal system is orthorhombic. For the raw total energy, the calculation gives -58.93 eV per atom. The formation energy is 0.13 eV per atom.

***

Entry 10:
The following is a DFT calculation (meta-GGA SCAN) of a crystal of CaZnAs2 relaxed with PBEsol.

The structure in POSCAR format:
```
CaZnAs2
1.0
4.0301 0.0000 0.0000
0.0000 4.0301 0.0000
-2.0151 -2.0151 4.7638
As Ca Zn
2 1 1
Direct
0.0000 0.0000 0.0000
0.7500 0.2500 0.5000
0.5000 0.5000 0.0000
0.2500 0.7500 0.5000
```

Results
As for the density of states at the Fermi level: 1.5 states/eV per cell. Its symmetry is I-4m2 (119). The crystal system is tetragonal. For the raw total energy, the calculation gives -16.21 eV per atom. The formation energy is -0.32 eV per atom.

***

Entry 11:
The following is a DFT calculation (meta-GGA SCAN) of a crystal of Ga2HgBi2 relaxed with PBEsol.

The structure in POSCAR format:
```
Ga2HgBi2
1.0
4.1204 0.0000 0.0000
0.0000 4.1204 0.0000
-2.0602 -2.0602 7.6959
Ga Bi Hg
2 2 1
Direct
0.2500 0.7500 0.5000
0.7500 0.2500 0.5000
0.6168 0.6168 0.2335
0.3832 0.3832 0.7665
0.0000 0.0000 0.0000
```

Results
As for the density of states at the Fermi level: 2.0 states/eV per cell. Its symmetry is I4/mmm (139). The crystal system is tetragonal. For the raw total energy, the calculation gives -51.50 eV per atom. The formation energy is 0.10 eV per atom.

***

Entry 12:
The following is a DFT calculation (meta-GGA SCAN) of a crystal of Li4Be3P3IO12 relaxed with PBEsol.

The structure in POSCAR format:
```
Li4Be3P3IO12
1.0
8.1566 0.0000 0.0000
0.0000 8.1566 0.0000
0.0000 0.0000 8.1566
O I Li Be P
24 2 8 6 6
Direct
0.9230 0.6456 0.6379
0.3621 0.0770 0.6456
0.0770 0.3544 0.6379
0.8544 0.5770 0.1379
0.1379 0.8544 0.5770
0.4230 0.1379 0.1456
0.6379 0.9230 0.6456
0.1456 0.5770 0.8621
0.8621 0.8544 0.4230
0.6379 0.0770 0.3544
0.8544 0.4230 0.8621
0.0770 0.6456 0.3621
0.8621 0.1456 0.5770
0.6456 0.6379 0.9230
0.1456 0.4230 0.1379
0.5770 0.1379 0.8544
0.3544 0.6379 0.0770
0.4230 0.8621 0.8544
0.1379 0.1456 0.4230
0.5770 0.8621 0.1456
0.3621 0.9230 0.3544
0.9230 0.3544 0.3621
0.6456 0.3621 0.0770
0.3544 0.3621 0.9230
0.5000 0.5000 0.5000
0.0000 0.0000 0.0000
0.3059 0.3059 0.6941
0.1941 0.1941 0.1941
0.8059 0.8059 0.1941
0.3059 0.6941 0.3059
0.1941 0.8059 0.8059
0.6941 0.6941 0.6941
0.6941 0.3059 0.3059
0.8059 0.1941 0.8059
0.5000 0.7500 0.0000
0.5000 0.2500 0.0000
0.0000 0.5000 0.7500
0.2500 0.0000 0.5000
0.7500 0.0000 0.5000
0.0000 0.5000 0.2500
0.0000 0.2500 0.5000
0.2500 0.5000 0.0000
0.5000 0.0000 0.2500
0.7500 0.5000 0.0000
0.0000 0.7500 0.5000
0.5000 0.0000 0.7500
```

Results
As for the density of states at the Fermi level: 0.0 states/eV per cell. Its symmetry is P-43n (218). The crystal system is cubic. For the uncorrected formation energy, the calculation gives -2.6726 eV/atom. For the raw total energy, the calculation gives -9.86 eV per atom.